Density functional theory data (PBE-GGA) for crystalline Ba3BeFe at its relaxed geometry.

Lattice parameters (Å, degrees): 5.7145 5.7145 5.7145 90.00 90.00 90.00
Fractional coordinates of all 5 atoms:
Be1 0.5000 0.5000 0.5000
Ba1 0.0000 0.5000 0.0000
Ba2 0.0000 0.0000 0.5000
Ba3 0.5000 0.0000 0.0000
Fe1 0.0000 0.0000 0.0000

## Properties
As for the calculated total energy: -2.765 eV per atom. As for the space group: Pm-3m (221). The formation energy comes out at 0.83 eV/atom. As for the total magnetization: 0.000 μB/atom.

***

Density functional theory data (PBE-GGA) for crystalline La2Pr12Th at its relaxed geometry.

Lattice parameters (Å, degrees): 6.6941 6.6941 25.6019 90.00 90.00 90.00
Fractional coordinates of all 30 atoms:
La1 0.5000 0.0000 0.2638
La2 0.0000 0.5000 0.2638
La3 0.0000 0.5000 0.7362
La4 0.5000 0.0000 0.7362
Pr1 0.5000 0.5000 0.7872
Pr2 0.0000 0.0000 0.7872
Pr3 0.6925 0.8075 0.8904
Pr4 0.1925 0.6925 0.8904
Pr5 0.0000 0.0000 0.3370
Pr6 0.3075 0.8075 0.1096
Pr7 0.8321 0.3321 0.5623
Pr8 0.5000 0.5000 0.3370
Pr9 0.3075 0.1925 0.8904
Pr10 0.8075 0.6925 0.1096
Pr11 0.3321 0.1679 0.5623
Pr12 0.6679 0.1679 0.4377
Pr13 0.0000 0.0000 0.6630
Pr14 0.1679 0.3321 0.4377
Pr15 0.1925 0.3075 0.1096
Pr16 0.8321 0.6679 0.4377
Pr17 0.6679 0.8321 0.5623
Pr18 0.0000 0.0000 0.2128
Pr19 0.1679 0.6679 0.5623
Pr20 0.5000 0.5000 0.6630
Pr21 0.8075 0.3075 0.8904
Pr22 0.5000 0.5000 0.2128
Pr23 0.3321 0.8321 0.4377
Pr24 0.6925 0.1925 0.1096
Th1 0.5000 0.0000 0.0000
Th2 0.0000 0.5000 0.0000

## Properties
As for the calculated total energy: -4.659 eV per atom. As for the space group: P4/nbm (125). The formation energy comes out at 0.32 eV/atom. As for the total magnetization: 0.000 μB/atom.

***

Density functional theory data (PBE-GGA) for crystalline NbS2BrCl at its relaxed geometry.

Lattice parameters (Å, degrees): 4.8276 4.8276 4.9292 90.00 90.00 90.00
Each line ends with the local moment (μB).
Fractional coordinates of all 5 atoms:
Nb1 0.0000 0.0000 0.0000  -0.04
S1 0.0000 0.5000 0.0000  0.07
S2 0.5000 0.0000 0.0000  0.07
Br1 0.5000 0.5000 0.5000  0.09
Cl1 0.0000 0.0000 0.5000  0.00

## Properties
As for the calculated total energy: -4.668 eV per atom. As for the space group: P4/mmm (123). As for the total magnetization: 0.054 μB/atom. The offset from the most stable computed form comes out at 0.000 eV/f.u. Its uncorrected formation energy is -0.299 eV per atom.

***

Density functional theory data (PBE-GGA) for crystalline Ca2Zr2Si at its relaxed geometry.

Lattice parameters (Å, degrees): 7.4897 7.4897 4.7577 90.00 90.00 90.00
Fractional coordinates of all 10 atoms:
Ca1 0.3448 0.8448 0.0000
Ca2 0.8448 0.6552 0.0000
Ca3 0.6552 0.1552 0.0000
Ca4 0.1552 0.3448 0.0000
Si1 0.0000 0.0000 0.0000
Si2 0.5000 0.5000 0.0000
Zr1 0.1431 0.6431 0.5000
Zr2 0.6431 0.8569 0.5000
Zr3 0.8569 0.3569 0.5000
Zr4 0.3569 0.1431 0.5000

## Properties
As for the calculated total energy: -4.710 eV per atom. As for the space group: P4/mbm (127). As for the total magnetization: 0.000 μB/atom. The offset from the most stable computed form comes out at 1.144 eV/f.u. Its uncorrected formation energy is 0.595 eV per atom.

***

Density functional theory data (PBE-GGA) for crystalline CaTm4Tl4 at its relaxed geometry.

Lattice parameters (Å, degrees): 6.1140 9.8043 9.8043 90.00 90.00 90.00
Fractional coordinates of all 18 atoms:
Ca1 0.0000 0.0000 0.0000
Ca2 0.5000 0.5000 0.5000
Tm1 0.3927 0.3395 0.8980
Tm2 0.8927 0.6020 0.8395
Tm3 0.3927 0.6605 0.1020
Tm4 0.1073 0.1605 0.6020
Tm5 0.6073 0.8980 0.6605
Tm6 0.1073 0.8395 0.3980
Tm7 0.8927 0.3980 0.1605
Tm8 0.6073 0.1020 0.3395
Tl1 0.6004 0.7864 0.3640
Tl2 0.6004 0.2136 0.6360
Tl3 0.1004 0.8640 0.7136
Tl4 0.8996 0.2864 0.8640
Tl5 0.8996 0.7136 0.1360
Tl6 0.3996 0.3640 0.2136
Tl7 0.3996 0.6360 0.7864
Tl8 0.1004 0.1360 0.2864

## Properties
As for the calculated total energy: -3.351 eV per atom. As for the space group: P4_2/n (86). The formation energy comes out at -0.09 eV/atom. As for the total magnetization: 0.000 μB/atom.

***

Density functional theory data (PBE-GGA) for crystalline ReAu2Br at its relaxed geometry.

Lattice parameters (Å, degrees): 6.6314 6.6314 4.6187 69.54 69.54 25.07
Each line ends with the local moment (μB).
Fractional coordinates of all 4 atoms:
Re1 0.2500 0.2500 0.2500  1.19
Au1 0.9496 0.9496 0.0505  0.03
Au2 0.5504 0.5504 0.4495  0.03
Br1 0.7500 0.7500 0.7500  0.04

## Properties
As for the calculated total energy: -4.357 eV per atom. As for the space group: C2/m (12). As for the total magnetization: 0.375 μB/atom. The offset from the most stable computed form comes out at 1.219 eV/f.u. Its uncorrected formation energy is 0.811 eV per atom.

***

Density functional theory data (PBE-GGA) for crystalline ZrNi2Cl at its relaxed geometry.

Lattice parameters (Å, degrees): 4.3952 4.3952 4.3952 120.02 120.02 89.97
Fractional coordinates of all 4 atoms:
Cl1 0.7500 0.2500 0.5000
Ni1 0.0000 0.0000 0.0000
Ni2 0.2500 0.7500 0.5000
Zr1 0.5000 0.5000 0.0000

## Properties
As for the calculated total energy: -5.494 eV per atom. As for the space group: F-43m (216). As for the total magnetization: 0.000 μB/atom. The offset from the most stable computed form comes out at 1.293 eV/f.u. Its uncorrected formation energy is -0.004 eV per atom.

***

Density functional theory data (PBE-GGA) for crystalline TlAsPSe2 at its relaxed geometry.

Lattice parameters (Å, degrees): 5.0623 5.0623 4.7932 90.00 90.00 90.00
Fractional coordinates of all 5 atoms:
P1 0.0000 0.0000 0.0000
Tl1 0.5000 0.5000 0.5000
As1 0.0000 0.0000 0.5000
Se1 0.0000 0.5000 0.0000
Se2 0.5000 0.0000 0.0000

## Properties
As for the calculated total energy: -3.588 eV per atom. As for the space group: P4/mmm (123). As for the total magnetization: 0.000 μB/atom. The offset from the most stable computed form comes out at 0.000 eV/f.u. Its uncorrected formation energy is 0.291 eV per atom.

***

Density functional theory data (PBE-GGA) for crystalline Ac3Al5H12 at its relaxed geometry.

Lattice parameters (Å, degrees): 11.3618 11.3618 11.3618 109.47 109.47 109.47
Fractional coordinates of all 80 atoms:
Ac1 0.7500 0.3750 0.1250
Ac2 0.8750 0.7500 0.1250
Ac3 0.3750 0.7500 0.6250
Ac4 0.2500 0.1250 0.3750
Ac5 0.8750 0.1250 0.2500
Ac6 0.3750 0.6250 0.2500
Ac7 0.6250 0.3750 0.7500
Ac8 0.1250 0.8750 0.7500
Ac9 0.7500 0.8750 0.6250
Ac10 0.6250 0.2500 0.3750
Ac11 0.1250 0.2500 0.8750
Ac12 0.2500 0.6250 0.8750
Al1 0.1250 0.3750 0.2500
Al2 0.0000 0.5000 0.0000
Al3 0.0000 0.0000 0.0000
Al4 0.3750 0.2500 0.1250
Al5 0.5000 0.0000 0.5000
Al6 0.5000 0.5000 0.0000
Al7 0.1250 0.7500 0.3750
Al8 0.7500 0.1250 0.8750
Al9 0.7500 0.6250 0.3750
Al10 0.3750 0.1250 0.7500
Al11 0.6250 0.8750 0.2500
Al12 0.5000 0.5000 0.5000
Al13 0.5000 0.0000 0.0000
Al14 0.0000 0.0000 0.5000
Al15 0.2500 0.3750 0.6250
Al16 0.2500 0.8750 0.1250
Al17 0.0000 0.5000 0.5000
Al18 0.8750 0.2500 0.6250
Al19 0.6250 0.7500 0.8750
Al20 0.8750 0.6250 0.7500
H1 0.7642 0.1502 0.0333
H2 0.2690 0.5333 0.3830
H3 0.9667 0.3498 0.2358
H4 0.5333 0.2642 0.1502
H5 0.6140 0.7642 0.7310
H6 0.9667 0.6170 0.2310
H7 0.2690 0.7358 0.3860
H8 0.1170 0.8860 0.1502
H9 0.6170 0.9667 0.7310
H10 0.7642 0.6140 0.2310
H11 0.7358 0.4667 0.3498
H12 0.7690 0.8830 0.0333
H13 0.1502 0.7642 0.5333
H14 0.3498 0.3830 0.1140
H15 0.1140 0.8830 0.3498
H16 0.3860 0.1502 0.6170
H17 0.1140 0.2310 0.2642
H18 0.4667 0.7310 0.1170
H19 0.7690 0.8860 0.2358
H20 0.1502 0.3860 0.1170
H21 0.3498 0.9667 0.7358
H22 0.6170 0.6502 0.3860
H23 0.8830 0.7690 0.5333
H24 0.7358 0.2690 0.8860
H25 0.3830 0.3498 0.6140
H26 0.1170 0.2310 0.4667
H27 0.2642 0.7310 0.1140
H28 0.2310 0.1140 0.7642
H29 0.6502 0.0333 0.2642
H30 0.8498 0.6140 0.8830
H31 0.5333 0.2690 0.8830
H32 0.6140 0.8498 0.3830
H33 0.8860 0.7690 0.7358
H34 0.8860 0.1170 0.6502
H35 0.8498 0.2358 0.4667
H36 0.2310 0.1170 0.9667
H37 0.6502 0.6170 0.8860
H38 0.3830 0.0333 0.2690
H39 0.2358 0.3860 0.7690
H40 0.2642 0.5333 0.6502
H41 0.8830 0.1140 0.8498
H42 0.7310 0.2642 0.6140
H43 0.4667 0.7358 0.8498
H44 0.0333 0.3830 0.7690
H45 0.3860 0.2358 0.2690
H46 0.0333 0.6502 0.7642
H47 0.7310 0.4667 0.6170
H48 0.2358 0.8498 0.9667

## Properties
As for the calculated total energy: -3.583 eV per atom. As for the space group: Ia-3d (230). As for the total magnetization: 0.000 μB/atom.

***

Density functional theory data (PBE-GGA) for crystalline CaTm2Co9 at its relaxed geometry.

Lattice parameters (Å, degrees): 5.0033 5.0033 8.4896 72.86 72.86 60.00
Each line ends with the local moment (μB).
Fractional coordinates of all 12 atoms:
Ca1 0.0000 0.0000 0.0000  -0.08
Tm1 0.8604 0.8604 0.4187  -0.45
Tm2 0.1396 0.1396 0.5813  -0.45
Co1 0.6646 0.6646 0.0062  1.66
Co2 0.3354 0.3354 0.9938  1.66
Co3 0.5000 0.5000 0.5000  1.37
Co4 0.4148 0.4148 0.2479  1.38
Co5 0.9225 0.4148 0.2479  1.38
Co6 0.4148 0.9225 0.2479  1.38
Co7 0.5852 0.5852 0.7521  1.38
Co8 0.5852 0.0775 0.7521  1.38
Co9 0.0775 0.5852 0.7521  1.38

## Properties
As for the calculated total energy: -6.360 eV per atom. As for the space group: R-3m (166). The formation energy comes out at -0.12 eV/atom. As for the total magnetization: 0.976 μB/atom.

***

Density functional theory data (PBE-GGA) for crystalline SrBeHg2 at its relaxed geometry.

Lattice parameters (Å, degrees): 5.3912 5.3912 5.3912 129.82 115.76 85.70
Fractional coordinates of all 4 atoms:
Sr1 0.5107 0.5107 0.0000
Hg1 0.9265 0.9265 0.0000
Hg2 0.2060 0.7060 0.5000
Be1 0.8569 0.3569 0.5000

## Properties
As for the calculated total energy: -1.472 eV per atom. As for the space group: Imm2 (44). The formation energy comes out at 0.03 eV/atom. As for the total magnetization: 0.000 μB/atom.

***

Density functional theory data (PBE-GGA) for crystalline CaPr12In4N3 at its relaxed geometry.

Lattice parameters (Å, degrees): 8.9734 8.9734 8.9734 109.47 109.47 109.47
Fractional coordinates of all 20 atoms:
Ca1 0.0000 0.0000 0.0000
Pr1 0.2500 0.5000 0.7500
Pr2 0.7268 0.0000 0.7268
Pr3 0.2732 0.0000 0.2732
Pr4 0.7500 0.5000 0.2500
Pr5 0.7268 0.7268 0.0000
Pr6 0.2732 0.2732 0.0000
Pr7 0.7500 0.2500 0.5000
Pr8 0.2500 0.7500 0.5000
Pr9 0.5000 0.2500 0.7500
Pr10 0.0000 0.7268 0.7268
Pr11 0.5000 0.7500 0.2500
Pr12 0.0000 0.2732 0.2732
In1 0.5000 0.5000 0.5000
In2 0.0000 0.0000 0.5000
In3 0.5000 0.0000 0.0000
In4 0.0000 0.5000 0.0000
N1 0.5000 0.0000 0.5000
N2 0.5000 0.5000 0.0000
N3 0.0000 0.5000 0.5000

## Properties
As for the calculated total energy: -5.191 eV per atom. As for the space group: Im-3m (229). As for the total magnetization: 0.000 μB/atom. Its uncorrected formation energy is -0.427 eV per atom.

***

Density functional theory data (PBE-GGA) for crystalline BeNiTe at its relaxed geometry.

Lattice parameters (Å, degrees): 7.4629 3.8005 7.2883 90.00 90.00 90.00
Fractional coordinates of all 12 atoms:
Ni1 0.1781 0.2500 0.3754
Ni2 0.3219 0.7500 0.8754
Ni3 0.8219 0.7500 0.6246
Ni4 0.6781 0.2500 0.1246
Te1 0.8568 0.2500 0.8437
Te2 0.6432 0.7500 0.3437
Te3 0.1432 0.7500 0.1563
Te4 0.3568 0.2500 0.6563
Be1 0.8994 0.2500 0.4732
Be2 0.6006 0.7500 0.9732
Be3 0.1006 0.7500 0.5268
Be4 0.3994 0.2500 0.0268

## Properties
As for the calculated total energy: -4.213 eV per atom. As for the space group: Pnma (62). As for the total magnetization: 0.000 μB/atom. Its uncorrected formation energy is 0.004 eV per atom.

***

Density functional theory data (PBE-GGA) for crystalline CaZnAsHO5 at its relaxed geometry.

Lattice parameters (Å, degrees): 6.0246 7.6079 9.1689 90.00 90.00 90.00
Fractional coordinates of all 36 atoms:
Ca1 0.0226 0.3697 0.8267
Ca2 0.5226 0.1303 0.1733
Ca3 0.9774 0.8697 0.6733
Ca4 0.4774 0.6303 0.3267
Zn1 0.2584 0.7662 0.9937
Zn2 0.7584 0.7338 0.0063
Zn3 0.7416 0.2662 0.5063
Zn4 0.2416 0.2338 0.4937
As1 0.9822 0.3726 0.1741
As2 0.4822 0.1274 0.8259
As3 0.0178 0.8726 0.3259
As4 0.5178 0.6274 0.6741
H1 0.9771 0.0052 0.9806
H2 0.4771 0.4948 0.0194
H3 0.0229 0.5052 0.5194
H4 0.5229 0.9948 0.4806
O1 0.9910 0.8912 0.9281
O2 0.4910 0.6088 0.0719
O3 0.0090 0.3912 0.5719
O4 0.5090 0.1088 0.4281
O5 0.7456 0.6070 0.7880
O6 0.2456 0.8930 0.2120
O7 0.2544 0.1070 0.7120
O8 0.7544 0.3930 0.2880
O9 0.4902 0.4512 0.5538
O10 0.9902 0.0488 0.4462
O11 0.5098 0.9512 0.9462
O12 0.0098 0.5488 0.0538
O13 0.5924 0.7964 0.5589
O14 0.0924 0.7036 0.4411
O15 0.4076 0.2964 0.9411
O16 0.9076 0.2036 0.0589
O17 0.2306 0.3456 0.2660
O18 0.7306 0.1544 0.7340
O19 0.7694 0.8456 0.2340
O20 0.2695 0.6544 0.7660

## Properties
As for the calculated total energy: -5.784 eV per atom. As for the space group: P2_12_12_1 (19). As for the total magnetization: 0.000 μB/atom.

***

Density functional theory data (PBE-GGA) for crystalline Nd2CdGa4Au3 at its relaxed geometry.

Lattice parameters (Å, degrees): 4.3477 4.3477 11.1775 90.00 90.00 90.00
Fractional coordinates of all 10 atoms:
Nd1 0.5000 0.0000 0.2463
Nd2 0.0000 0.5000 0.7537
Cd1 0.5000 0.5000 0.5000
Ga1 0.5000 0.5000 0.0000
Ga2 0.0000 0.0000 0.0000
Ga3 0.5000 0.0000 0.6438
Ga4 0.0000 0.5000 0.3562
Au1 0.0000 0.0000 0.5000
Au2 0.5000 0.0000 0.8685
Au3 0.0000 0.5000 0.1315

## Properties
As for the calculated total energy: -3.834 eV per atom. As for the space group: P-4m2 (115). The formation energy comes out at -0.60 eV/atom. As for the total magnetization: 0.000 μB/atom.

***

Density functional theory data (PBE-GGA) for crystalline Cs3TbPr3Te8 at its relaxed geometry.

Lattice parameters (Å, degrees): 9.1549 9.1572 10.6343 115.54 90.00 119.98
Fractional coordinates of all 15 atoms:
Cs1 0.0000 0.0000 0.0000
Cs2 0.0000 0.5000 0.0000
Cs3 0.5000 0.5000 0.0000
Tb1 0.0000 0.0000 0.5000
Pr1 0.5000 0.0000 0.5000
Pr2 0.5000 0.5000 0.5000
Pr3 0.0000 0.5000 0.5000
Te1 0.2674 0.5348 0.3024
Te2 0.7326 0.4652 0.6976
Te3 0.7730 0.5460 0.3078
Te4 0.2270 0.4540 0.6922
Te5 0.7730 0.0346 0.3078
Te6 0.2270 0.9654 0.6922
Te7 0.2616 0.0346 0.3078
Te8 0.7384 0.9654 0.6922

## Properties
As for the calculated total energy: -4.446 eV per atom. As for the space group: R-3m (166). As for the total magnetization: 0.000 μB/atom. Its uncorrected formation energy is -1.335 eV per atom.

***

Density functional theory data (PBE-GGA) for crystalline Sm10DyTh4 at its relaxed geometry.

Lattice parameters (Å, degrees): 10.7782 8.7830 8.7830 67.88 52.15 52.15
Fractional coordinates of all 15 atoms:
Sm1 0.2500 0.5000 0.5000
Sm2 0.5416 0.3279 0.9057
Sm3 0.1305 0.0943 0.3279
Sm4 0.5527 0.9057 0.6721
Sm5 0.7753 0.6721 0.0943
Sm6 0.4584 0.6721 0.0943
Sm7 0.7500 0.5000 0.5000
Sm8 0.2247 0.3279 0.9057
Sm9 0.4473 0.0943 0.3279
Sm10 0.8695 0.9057 0.6721
Dy1 0.0000 0.0000 0.0000
Th1 0.3355 0.7247 0.6044
Th2 0.9398 0.3956 0.7247
Th3 0.0602 0.6044 0.2753
Th4 0.6645 0.2753 0.3956

## Properties
As for the calculated total energy: -5.058 eV per atom. As for the space group: I4/m (87). The formation energy comes out at 0.37 eV/atom. As for the total magnetization: 0.000 μB/atom.